(P)
MnI: relaxed, PBE.

Values from the calculation:
* SG: No. 217
* theoretical density: 4.0 g/cm³
* density of states at the Fermi level: 27.35 states/eV per cell
* calculated volume: 607.2 Å³ per cell

The structure in POSCAR format:
```
MnI
1.0
8.4677 0.0000 0.0000
0.0000 8.4677 0.0000
0.0000 0.0000 8.4677
Mn I
8 8
Cartesian
0.9552 0.9552 0.9552 Mn
0.9552 7.5125 7.5125 Mn
3.2787 3.2787 5.1890 Mn
3.2787 5.1890 3.2787 Mn
5.1890 3.2787 3.2787 Mn
5.1890 5.1890 5.1890 Mn
7.5125 0.9552 7.5125 Mn
7.5125 7.5125 0.9552 Mn
1.6685 1.6685 6.7992 I
1.6685 6.7992 1.6685 I
2.5653 2.5653 2.5653 I
2.5653 5.9024 5.9024 I
5.9024 2.5653 5.9024 I
5.9024 5.9024 2.5653 I
6.7992 1.6685 1.6685 I
6.7992 6.7992 6.7992 I
```

(Q)
MnI: relaxed, PBE.

Values from the calculation:
* SG: No. 136
* theoretical density: 4.6 g/cm³
* density of states at the Fermi level: 1.62 states/eV per cell
* calculated volume: 261.2 Å³ per cell

The structure in POSCAR format:
```
MnI
1.0
7.9222 0.0000 0.0000
0.0000 7.9222 0.0000
0.0000 0.0000 4.1612
Mn I
4 4
Cartesian
0.8973 0.8973 0.0000 Mn
3.0638 4.8584 2.0806 Mn
4.8584 3.0638 2.0806 Mn
7.0249 7.0249 0.0000 Mn
1.7503 6.1718 0.0000 I
2.2108 2.2108 2.0806 I
5.7114 5.7114 2.0806 I
6.1718 1.7503 0.0000 I
```

(R)
MnI: relaxed, PBE.

Values from the calculation:
* SG: No. 19
* theoretical density: 4.9 g/cm³
* density of states at the Fermi level: 8.99 states/eV per cell
* calculated volume: 494.6 Å³ per cell

The structure in POSCAR format:
```
MnI
1.0
6.7485 0.0000 0.0000
0.0000 7.9313 0.0000
0.0000 0.0000 9.2412
Mn I
8 8
Cartesian
0.5624 1.7045 3.4950 Mn
1.2769 5.0681 0.1846 Mn
2.0974 2.8632 4.8053 Mn
2.8119 6.2268 8.1157 Mn
3.9366 2.2611 5.7462 Mn
4.6511 6.8288 9.0566 Mn
5.4716 1.1024 4.4360 Mn
6.1861 5.6702 1.1256 Mn
0.0134 2.4718 6.2365 I
0.0187 6.8977 3.4213 I
3.3556 1.0336 8.0419 I
3.3609 5.4595 1.6158 I
3.3876 1.4939 3.0048 I
3.3930 4.9992 5.8199 I
6.7298 2.9320 1.1993 I
6.7352 6.4374 7.6254 I
```

Sorted by energy, starting with the most stable: (P), (Q), (R).

(P)
MnMo2I: relaxed, PBE.

Values from the calculation:
* SG: No. 225
* theoretical density: 9.5 g/cm³
* density of states at the Fermi level: 10.66 states/eV per cell
* calculated volume: 260.9 Å³ per cell

The structure in POSCAR format:
```
MnMo2I
1.0
6.3901 0.0000 0.0000
0.0000 6.3901 0.0000
0.0000 0.0000 6.3901
Mn Mo I
4 8 4
Cartesian
0.0000 0.0000 0.0000 Mn
0.0000 3.1951 3.1951 Mn
3.1951 0.0000 3.1951 Mn
3.1951 3.1951 0.0000 Mn
1.5975 1.5975 1.5975 Mo
1.5975 1.5975 4.7926 Mo
1.5975 4.7926 1.5975 Mo
1.5975 4.7926 4.7926 Mo
4.7926 1.5975 1.5975 Mo
4.7926 1.5975 4.7926 Mo
4.7926 4.7926 1.5975 Mo
4.7926 4.7926 4.7926 Mo
0.0000 0.0000 3.1951 I
0.0000 3.1951 0.0000 I
3.1951 0.0000 0.0000 I
3.1951 3.1951 3.1951 I
```

(Q)
MnMo2I: relaxed, PBE.

Values from the calculation:
* SG: No. 122
* theoretical density: 6.8 g/cm³
* density of states at the Fermi level: 18.82 states/eV per cell
* calculated volume: 367.0 Å³ per cell

The structure in POSCAR format:
```
MnMo2I
1.0
5.4398 0.0000 0.0000
0.0000 5.4398 0.0000
0.0000 0.0000 12.4017
Mn Mo I
4 8 4
Cartesian
0.0000 0.0000 0.0000 Mn
0.0000 2.7199 3.1004 Mn
2.7199 0.0000 9.3013 Mn
2.7199 2.7199 6.2008 Mn
0.9358 1.3599 1.5502 Mo
1.3599 3.6557 4.6506 Mo
1.3599 4.5040 10.8515 Mo
1.7841 1.3599 7.7510 Mo
3.6557 4.0798 7.7510 Mo
4.0798 0.9358 10.8515 Mo
4.0798 1.7841 4.6506 Mo
4.5040 4.0798 1.5502 Mo
0.0000 0.0000 6.2008 I
0.0000 2.7199 9.3013 I
2.7199 0.0000 3.1004 I
2.7199 2.7199 0.0000 I
```

Sorted by energy, starting with the most stable: (P), (Q).

(P)
MnMoIN2: relaxed, PBE.

Values from the calculation:
* SG: No. 123
* theoretical density: 5.6 g/cm³
* density of states at the Fermi level: 3.36 states/eV per cell
* calculated volume: 90.4 Å³ per cell

The structure in POSCAR format:
```
MnMoIN2
1.0
3.9552 0.0000 0.0000
0.0000 3.9552 0.0000
0.0000 0.0000 5.7772
Mn Mo I N
1 1 1 2
Cartesian
0.0000 0.0000 0.0000 Mn
1.9776 1.9776 2.8886 Mo
1.9776 1.9776 0.0000 I
0.0000 1.9776 2.8886 N
1.9776 0.0000 2.8886 N
```

(Q)
MnMoIN2: relaxed, PBE.

Values from the calculation:
* SG: No. 123
* theoretical density: 6.5 g/cm³
* density of states at the Fermi level: 3.59 states/eV per cell
* calculated volume: 77.8 Å³ per cell

The structure in POSCAR format:
```
MnMoIN2
1.0
3.8014 0.0000 0.0000
0.0000 3.8014 0.0000
0.0000 0.0000 5.3819
Mn Mo I N
1 1 1 2
Cartesian
0.0000 0.0000 0.0000 Mn
1.9007 1.9007 2.6909 Mo
0.0000 0.0000 2.6909 I
0.0000 1.9007 0.0000 N
1.9007 0.0000 0.0000 N
```

Sorted by energy, starting with the most stable: (P), (Q).

(P)
NaMnI2N: relaxed, PBE.

Values from the calculation:
* SG: No. 123
* theoretical density: 3.7 g/cm³
* density of states at the Fermi level: 4.17 states/eV per cell
* calculated volume: 155.1 Å³ per cell

The structure in POSCAR format:
```
NaMnI2N
1.0
5.9053 0.0000 0.0000
0.0000 5.9053 0.0000
0.0000 0.0000 4.4467
Na Mn I N
1 1 2 1
Cartesian
0.0000 0.0000 0.0000 Na
2.9526 2.9526 2.2233 Mn
0.0000 2.9526 0.0000 I
2.9526 0.0000 0.0000 I
0.0000 0.0000 2.2233 N
```

(Q)
NaMnI2N: relaxed, PBE.

Values from the calculation:
* SG: No. 123
* theoretical density: 4.6 g/cm³
* density of states at the Fermi level: 1.89 states/eV per cell
* calculated volume: 124.6 Å³ per cell

The structure in POSCAR format:
```
NaMnI2N
1.0
5.8247 0.0000 0.0000
0.0000 5.8247 0.0000
0.0000 0.0000 3.6734
Na Mn I N
1 1 2 1
Cartesian
0.0000 0.0000 0.0000 Na
2.9123 2.9123 1.8367 Mn
0.0000 2.9123 1.8367 I
2.9123 0.0000 1.8367 I
2.9123 2.9123 0.0000 N
```

Sorted by energy, starting with the most stable: (Q), (P).